Record 1
## Sr2Cd3Ag6 (PBE)

Data for Sr2Cd3Ag6 after structural relaxation.

The space group is P-62m (No. 189) and the conventional cell measures 8.0355, 8.0355 and 4.7865 Å, with angles of 90.00, 90.00 and 120.00 degrees. The inequivalent atoms are Sr at (0.3333, 0.6667, 0.0000), Cd at (0.0000, 0.4112, 0.5000), Ag at (0.0000, 0.2063, 0.0000) and Ag at (0.0000, 0.7659, 0.5000).

The calculation puts the formation energy at -149 meV per atom. The calculation puts the offset from the most stable computed form at 0 meV per atom. The calculation puts the density at 7.19 g/cm3.

Record 2
## SrCd9Ag2 (PBE)

Data for SrCd9Ag2 after structural relaxation.

The space group is I4_1/amd (No. 141, origin choice 2) and the conventional cell measures 11.9920, 11.9920 and 7.7059 Å, with angles of 90.00, 90.00 and 90.00 degrees. The inequivalent atoms are Sr at (0.0000, 0.2500, 0.3750), Cd at (0.0000, 0.2500, 0.8750), Cd at (0.1208, 0.0473, 0.6787) and Ag at (0.0000, 0.0000, 0.0000).

The calculation puts the formation energy at -165 meV per atom. The calculation puts the offset from the most stable computed form at 0 meV per atom. The calculation puts the density at 7.88 g/cm3.

Record 3
## SrCd3Ag3 (PBE)

Data for SrCd3Ag3 after structural relaxation.

The space group is R-3 (No. 148, hexagonal axes) and the conventional cell measures 7.5559, 7.5559 and 19.9008 Å, with angles of 90.00, 90.00 and 120.00 degrees. The inequivalent atoms are Sr at (0.0000, 0.0000, 0.1506), Cd at (0.0557, 0.6035, 0.3718) and Ag at (0.0076, 0.2247, 0.4391).

The calculation puts the formation energy at -120 meV per atom. The calculation puts the offset from the most stable computed form at 6 meV per atom. The calculation puts the density at 7.58 g/cm3.

Record 4
## SrCdAg4 (PBE)

Data for SrCdAg4 after structural relaxation.

The space group is F-43m (No. 216) and the conventional cell measures 8.0936, 8.0936 and 8.0936 Å, with angles of 90.00, 90.00 and 90.00 degrees. The inequivalent atoms are Sr at (0.0000, 0.0000, 0.0000), Cd at (0.2500, 0.2500, 0.7500) and Ag at (0.1244, 0.1244, 0.3756).

The calculation puts the formation energy at -175 meV per atom. The calculation puts the density at 7.91 g/cm3.

Record 5
## Sr2Cd3Ag6 (PBE)

Data for Sr2Cd3Ag6 after structural relaxation.

The space group is Cmmm (No. 65) and the conventional cell measures 10.1615, 12.8469 and 4.3769 Å, with angles of 90.00, 90.00 and 90.00 degrees. The inequivalent atoms are Sr at (0.0000, 0.1824, 0.0000), Cd at (0.0000, 0.5000, 0.5000), Cd at (0.1948, 0.5000, 0.0000), Ag at (0.1312, 0.0000, 0.5000) and Ag at (0.1761, 0.3361, 0.5000).

The calculation puts the formation energy at -97 meV per atom. The calculation puts the offset from the most stable computed form at 52 meV per atom. The calculation puts the density at 6.74 g/cm3.

Record 6
## SrCd9Ag2 (PBE)

Data for SrCd9Ag2 after structural relaxation.

The space group is P6/mmm (No. 191) and the conventional cell measures 9.6321, 9.6321 and 3.4484 Å, with angles of 90.00, 90.00 and 120.00 degrees. The inequivalent atoms are Sr at (0.0000, 0.0000, 0.0000), Cd at (0.0000, 0.5000, 0.0000), Cd at (0.1848, 0.3696, 0.5000) and Ag at (0.3333, 0.6667, 0.0000).

The calculation puts the formation energy at -103 meV per atom. The calculation puts the offset from the most stable computed form at 63 meV per atom. The calculation puts the density at 7.88 g/cm3.

Record 7
## Sr5Cd4Ag (PBE)

Data for Sr5Cd4Ag after structural relaxation.

The space group is P4/mmm (No. 123) and the conventional cell measures 3.9880, 3.9880 and 20.5991 Å, with angles of 90.00, 90.00 and 90.00 degrees. The inequivalent atoms are Sr at (0.0000, 0.0000, 0.0000), Sr at (0.0000, 0.0000, 0.2021), Sr at (0.0000, 0.0000, 0.4048), Cd at (0.5000, 0.5000, 0.1011), Cd at (0.5000, 0.5000, 0.3035) and Ag at (0.5000, 0.5000, 0.5000).

The calculation puts the formation energy at -318 meV per atom. The calculation puts the density at 5.05 g/cm3.

Record 8
## Sr2CdAg2 (PBE)

Data for Sr2CdAg2 after structural relaxation.

The space group is I4/mmm (No. 139) and the conventional cell measures 6.2034, 6.2034 and 8.3130 Å, with angles of 90.00, 90.00 and 90.00 degrees. The inequivalent atoms are Sr at (0.0000, 0.5000, 0.2500), Cd at (0.0000, 0.0000, 0.0000) and Ag at (0.0000, 0.0000, 0.3399).

The calculation puts the formation energy at -174 meV per atom. The calculation puts the offset from the most stable computed form at 140 meV per atom. The calculation puts the density at 5.23 g/cm3.

Record 9
## Sr3CdAg (PBE)

Data for Sr3CdAg after structural relaxation.

The space group is Pm-3m (No. 221) and the conventional cell measures 6.0900, 6.0900 and 6.0900 Å, with angles of 90.00, 90.00 and 90.00 degrees. The inequivalent atoms are Sr at (0.0000, 0.0000, 0.5000), Cd at (0.5000, 0.5000, 0.5000) and Ag at (0.0000, 0.0000, 0.0000).

The calculation puts the formation energy at -36 meV per atom. The calculation puts the offset from the most stable computed form at 181 meV per atom. The calculation puts the density at 3.55 g/cm3.

Record 10
## Sr2Cd3Ag9 (PBE)

Data for Sr2Cd3Ag9 after structural relaxation.

The space group is Cmcm (No. 63) and the conventional cell measures 14.6438, 8.6888 and 9.7654 Å, with angles of 90.00, 90.00 and 90.00 degrees. The inequivalent atoms are Sr at (0.1538, 0.1654, 0.2500), Cd at (0.0000, 0.0000, 0.0000), Cd at (0.1895, 0.5000, 0.0000), Ag at (0.0000, 0.1602, 0.7500), Ag at (0.0000, 0.3412, 0.0284), Ag at (0.0949, 0.4613, 0.7500) and Ag at (0.1632, 0.1871, 0.5932).

The calculation puts the formation energy at -169 meV per atom. The calculation puts the density at 7.93 g/cm3.

Record 11
## Sr3CdAg3 (PBE)

Data for Sr3CdAg3 after structural relaxation.

The space group is P6_3/m (No. 176) and the conventional cell measures 9.5486, 9.5486 and 6.4334 Å, with angles of 90.00, 90.00 and 120.00 degrees. The inequivalent atoms are Sr at (0.0602, 0.3723, 0.2500), Cd at (0.3333, 0.6667, 0.7500) and Ag at (0.0522, 0.3582, 0.7500).

The calculation puts the formation energy at -130 meV per atom. The calculation puts the offset from the most stable computed form at 183 meV per atom. The calculation puts the density at 4.57 g/cm3.

Record 12
## SrCd2Ag (PBE)

Data for SrCd2Ag after structural relaxation.

The space group is I4/mmm (No. 139) and the conventional cell measures 4.8997, 4.8997 and 8.5771 Å, with angles of 90.00, 90.00 and 90.00 degrees. The inequivalent atoms are Sr at (0.0000, 0.0000, 0.0000), Cd at (0.0000, 0.5000, 0.2500) and Ag at (0.0000, 0.0000, 0.5000).

The calculation puts the formation energy at -163 meV per atom. The calculation puts the density at 6.78 g/cm3.

Record 13
## Sr2Cd5Ag3 (PBE)

Data for Sr2Cd5Ag3 after structural relaxation.

The space group is P-4m2 (No. 115) and the conventional cell measures 4.4287, 4.4287 and 13.2112 Å, with angles of 90.00, 90.00 and 90.00 degrees. The inequivalent atoms are Sr at (0.0000, 0.5000, 0.2363), Cd at (0.0000, 0.0000, 0.5000), Cd at (0.0000, 0.5000, 0.6496), Cd at (0.5000, 0.5000, 0.0000), Cd at (0.5000, 0.5000, 0.5000), Ag at (0.0000, 0.0000, 0.0000) and Ag at (0.0000, 0.5000, 0.8599).

The calculation puts the formation energy at -217 meV per atom. The calculation puts the offset from the most stable computed form at 16 meV per atom. The calculation puts the density at 6.80 g/cm3.

Record 14
## Sr2CdAg2 (PBE)

Data for Sr2CdAg2 after structural relaxation.

The space group is I4/mmm (No. 139) and the conventional cell measures 3.9819, 3.9819 and 19.1545 Å, with angles of 90.00, 90.00 and 90.00 degrees. The inequivalent atoms are Sr at (0.0000, 0.0000, 0.1092), Cd at (0.0000, 0.0000, 0.5000) and Ag at (0.0000, 0.5000, 0.2500).

The calculation puts the formation energy at -172 meV per atom. The calculation puts the offset from the most stable computed form at 142 meV per atom. The calculation puts the density at 5.50 g/cm3.

Record 15
## Sr3CdAg8 (PBE)

Data for Sr3CdAg8 after structural relaxation.

The space group is R3m (No. 160, hexagonal axes) and the conventional cell measures 5.8480, 5.8480 and 28.5454 Å, with angles of 90.00, 90.00 and 120.00 degrees. The inequivalent atoms are Sr at (0.0000, 0.0000, 0.0000), Sr at (0.0000, 0.0000, 0.1303), Sr at (0.0000, 0.0000, 0.5168), Cd at (0.0000, 0.0000, 0.6378), Ag at (0.0000, 0.0000, 0.3191), Ag at (0.0000, 0.0000, 0.8198), Ag at (0.9999, 0.4999, 0.0684) and Ag at (0.1686, 0.3372, 0.9036).

The calculation puts the formation energy at -191 meV per atom. The calculation puts the density at 7.30 g/cm3.

Record 16
## SrCd7Ag5 (PBE)

Data for SrCd7Ag5 after structural relaxation.

The space group is Imm2 (No. 44) and the conventional cell measures 5.6583, 10.0448 and 9.9937 Å, with angles of 90.00, 90.00 and 90.00 degrees. The inequivalent atoms are Sr at (0.0000, 0.0000, 0.0000), Cd at (0.0000, 0.0000, 0.3543), Cd at (0.0000, 0.0000, 0.6553), Cd at (0.0000, 0.2893, 0.5049), Cd at (0.0000, 0.3495, 0.0107), Cd at (0.0000, 0.5000, 0.7263), Ag at (0.0000, 0.5000, 0.2884) and Ag at (0.2499, 0.2490, 0.7567).

The calculation puts the formation energy at -140 meV per atom. The calculation puts the density at 8.27 g/cm3.

Record 17
## SrCd4Ag2 (PBE)

Data for SrCd4Ag2 after structural relaxation.

The space group is P4_2/mnm (No. 136) and the conventional cell measures 8.6683, 8.6683 and 4.4917 Å, with angles of 90.00, 90.00 and 90.00 degrees. The inequivalent atoms are Sr at (0.0000, 0.0000, 0.0000), Cd at (0.0893, 0.3421, 0.5000) and Ag at (0.2110, 0.7890, 0.5000).

The calculation puts the formation energy at -214 meV per atom. The calculation puts the offset from the most stable computed form at 0 meV per atom. The calculation puts the density at 7.41 g/cm3.

Record 18
## Sr2Cd2Ag (PBE)

Data for Sr2Cd2Ag after structural relaxation.

The space group is I4/mmm (No. 139) and the conventional cell measures 6.4448, 6.4448 and 8.2742 Å, with angles of 90.00, 90.00 and 90.00 degrees. The inequivalent atoms are Sr at (0.0000, 0.5000, 0.2500), Cd at (0.0000, 0.0000, 0.1633) and Ag at (0.0000, 0.0000, 0.5000).

The calculation puts the formation energy at -86 meV per atom. The calculation puts the offset from the most stable computed form at 229 meV per atom. The calculation puts the density at 4.91 g/cm3.

Record 19
## SrCd2Ag (PBE)

Data for SrCd2Ag after structural relaxation.

The space group is R-3m (No. 166, hexagonal axes) and the conventional cell measures 4.8721, 4.8721 and 16.2936 Å, with angles of 90.00, 90.00 and 120.00 degrees. The inequivalent atoms are Sr at (0.0000, 0.0000, 0.0000), Cd at (0.0000, 0.0000, 0.2102) and Ag at (0.0000, 0.0000, 0.5000).

The calculation puts the formation energy at -207 meV per atom. The calculation puts the density at 6.25 g/cm3.

Record 20
## SrCd2Ag2 (PBE)

Data for SrCd2Ag2 after structural relaxation.

The space group is I4/mmm (No. 139) and the conventional cell measures 4.4704, 4.4704 and 12.8217 Å, with angles of 90.00, 90.00 and 90.00 degrees. The inequivalent atoms are Sr at (0.0000, 0.0000, 0.0000), Cd at (0.0000, 0.5000, 0.2500) and Ag at (0.0000, 0.0000, 0.3929).

The calculation puts the formation energy at -230 meV per atom. The calculation puts the offset from the most stable computed form at 0 meV per atom. The calculation puts the density at 6.85 g/cm3.